Arrangement a

DyYIr, optimized geometry, DFT PBE-GGA; crystal system = monoclinic; space group = Cm (8)
1.0
5.813 -1.950 0.000
5.813 1.950 0.000
-4.269 0.000 6.735
Dy Y Ir
2 2 2
direct
0.000 0.000 0.000
0.592 0.592 0.703
0.345 0.345 0.162
0.756 0.756 0.458
0.039 0.039 0.396
0.308 0.308 0.768

Arrangement b

DyYIr, optimized geometry, DFT PBE-GGA; crystal system = trigonal; space group = P3m1 (156)
1.0
4.104 0.000 0.000
-2.052 3.554 0.000
0.000 0.000 6.146
Dy Y Ir
1 1 1
direct
0.000 0.000 0.000
0.667 0.333 0.462
0.333 0.667 0.228

Looking at the structures above, arrangement a is most stable, and the difference to the next one is 126 meV per atom.